First-principles (PBE) data for NiBPt after structural relaxation, as listed in OQMD via LeMat-Bulk.

The energy comes out at -0.4634 Ry per atom. For the spin magnetization, the calculation gives 0.00 μB/f.u.

It has space group P2/m (No. 10), with a = 4.426 Å, b = 3.127 Å, c = 5.080 Å, α = 90.00°, β = 93.75° and γ = 90.00°. The distinct sites, in fractional coordinates, are Ni at (0.244, 0.000, 0.148), B at (0.000, 0.500, 0.000), B at (0.500, 0.000, 0.500) and Pt at (0.263, 0.500, 0.675).

---

First-principles (PBE) data for ScCuHgB after structural relaxation, as listed in OQMD via LeMat-Bulk.

The energy comes out at -0.2871 Ry per atom. For the spin magnetization, the calculation gives 0.00 μB/f.u.

It has space group F-43m (No. 216), with a = 6.255 Å, b = 6.255 Å, c = 6.255 Å, α = 90.00°, β = 90.00° and γ = 90.00°. The distinct sites, in fractional coordinates, are Sc at (0.000, 0.000, 0.000), Cu at (0.000, 0.000, 0.500), Hg at (0.250, 0.250, 0.750) and B at (0.250, 0.250, 0.250).

---

First-principles (PBE) data for LuCuPbSe2S after structural relaxation, as listed in OQMD via LeMat-Bulk.

The energy comes out at -0.3583 Ry per atom. For the spin magnetization, the calculation gives 0.00 μB/f.u.

It has space group Cmcm (No. 63), with a = 3.982 Å, b = 13.494 Å, c = 10.082 Å, α = 90.00°, β = 90.00° and γ = 90.00°. The distinct sites, in fractional coordinates, are Lu at (0.000, 0.000, 0.000), Cu at (0.000, 0.473, 0.250), Pb at (0.000, 0.256, 0.750), Se at (0.000, 0.359, 0.059) and S at (0.000, 0.069, 0.250).